(1)
# SrAs2Rh, optimized geometry, DFT PBE
# ΔH_f (0 K) = -0.1394 eV per atom
data_SrAs2Rh
_symmetry_space_group_name_H-M 'I -4 m 2'
_symmetry_Int_Tables_number 119
_symmetry_space_group_name_Hall 'I -4 -2'
_cell_length_a 4.221
_cell_length_b 4.221
_cell_length_c 9.243
_cell_angle_alpha 90.00
_cell_angle_beta 90.00
_cell_angle_gamma 90.00
loop_
_atom_site_label
_atom_site_type_symbol
_atom_site_fract_x
_atom_site_fract_y
_atom_site_fract_z
Sr1 Sr 0.000 0.000 0.000
As1 As 0.000 0.000 0.500
As2 As 0.000 0.500 0.750
Rh1 Rh 0.000 0.500 0.250

(2)
# SrAs2Rh, optimized geometry, DFT PBE
# ΔH_f (0 K) = -0.7453 eV per atom
data_SrAs2Rh
_symmetry_space_group_name_H-M 'C 1 2/m 1'
_symmetry_Int_Tables_number 12
_symmetry_space_group_name_Hall '-C 2y'
_cell_length_a 7.259
_cell_length_b 4.165
_cell_length_c 6.152
_cell_angle_alpha 90.00
_cell_angle_beta 112.83
_cell_angle_gamma 90.00
loop_
_atom_site_label
_atom_site_type_symbol
_atom_site_fract_x
_atom_site_fract_y
_atom_site_fract_z
Sr1 Sr 0.000 0.000 0.000
As1 As 0.219 0.000 0.656
Rh1 Rh 0.000 0.500 0.500

Number 1: total magnetic moment 0.0 μB per formula unit. Number 2: total magnetic moment 0.0 μB per formula unit.